VASP calculation (PBE) on a relaxed structure of CdCoTe3Pb.

a = 3.7429 Å, b = 15.7538 Å, c = 11.3110 Å
α = 90.00°, β = 90.00°, γ = 90.00°
Space group Cmcm (No. 63)
Unique sites:
Cd (0.0000, 0.1526, 0.2500) (multiplicity 4)
Co (0.0000, 0.5000, 0.0000) (multiplicity 4)
Te (0.0000, 0.1081, 0.0023) (multiplicity 8)
Te (0.0000, 0.4925, 0.2500) (multiplicity 4)
Pb (0.0000, 0.1865, 0.7500) (multiplicity 4)

Calculated values
Its final energy is -3.602 eV/atom.

***

VASP calculation (PBE) on a relaxed structure of CdCoTe3Pb.

a = 4.1298 Å, b = 13.3644 Å, c = 12.3395 Å
α = 90.00°, β = 90.00°, γ = 90.00°
Space group Cmcm (No. 63)
Unique sites:
Cd (0.0000, 0.0000, 0.0000) (multiplicity 4)
Co (0.0000, 0.4299, 0.2500) (multiplicity 4)
Te (0.0000, 0.0357, 0.2500) (multiplicity 4)
Te (0.0000, 0.3517, 0.0633) (multiplicity 8)
Pb (0.0000, 0.2276, 0.7500) (multiplicity 4)

Calculated values
Its final energy is -3.614 eV/atom.

***

VASP calculation (PBE) on a relaxed structure of CdCoPbW.

a = 6.5894 Å, b = 6.5894 Å, c = 6.5894 Å
α = 90.00°, β = 90.00°, γ = 90.00°
Space group F-43m (No. 216)
Unique sites:
Cd (0.0000, 0.0000, 0.0000) (multiplicity 4)
Co (0.2500, 0.2500, 0.7500) (multiplicity 4)
Pb (0.0000, 0.0000, 0.5000) (multiplicity 4)
W (0.2500, 0.2500, 0.2500) (multiplicity 4)

Calculated values
Its final energy is -5.170 eV/atom.

***

Number 1: M_tot 0.000 μB per formula unit. Number 2: M_tot 0.016 μB per formula unit. Number 3: M_tot 2.250 μB per formula unit.